# 1
{
  "formula": "AgTe2Ir",
  "functional": "PBEsol",
  "state": "relaxed",
  "final_energy_ev_per_atom": -4.316,
  "sg": "F-43m, No. 216",
  "magmom_total_mub_per_cell": 0.0,
  "polymorph_energy_mev_per_atom": 780.5,
  "raw_formation_energy_ev_per_atom": 0.731,
  "cell": [[0.000, 3.439, 3.439], [3.439, 0.000, 3.439], [3.439, 3.439, 0.000]],
  "species": ["Ag", "Te", "Te", "Ir"],
  "frac_coords": [[0.000, 0.000, 0.000], [0.500, 0.500, 0.500], [0.750, 0.750, 0.750], [0.250, 0.250, 0.250]]
}

# 2
{
  "formula": "AgTeIr2",
  "functional": "PBEsol",
  "state": "relaxed",
  "final_energy_ev_per_atom": -6.198,
  "sg": "I4/mmm, No. 139",
  "magmom_total_mub_per_cell": 0.0,
  "raw_formation_energy_ev_per_atom": 0.423,
  "cell": [[-2.112, 2.112, 3.658], [2.112, -2.112, 3.658], [2.112, 2.112, -3.658]],
  "species": ["Ag", "Te", "Ir", "Ir"],
  "frac_coords": [[0.000, 0.000, 0.000], [0.500, 0.500, 0.000], [0.250, 0.750, 0.500], [0.750, 0.250, 0.500]]
}